# YNi2Pt

A relaxed YNi2Pt crystal (PBE, the Alexandria database).

Cell and atoms, written as POSCAR:
```
YNi2Pt
1.0
1.475 0.852 8.597
-1.475 0.852 8.597
0.000 -1.703 8.597
Y Ni Pt
1 2 1
Cartesian
0.000 0.000 0.000
0.000 0.000 6.344
0.000 0.000 19.446
0.000 0.000 12.895
```

Calculated total energy   -22.899 eV for the cell shown
SG   No. 166
Total moment   0.324 μB/f.u.
Fermi-level density of states   1.751 states/eV per atom